No. 1
Compound: Tb2PrTi
Source: Alexandria
Functional: PBE
Structure: optimized geometry

The structure in CIF format:
```
data_Tb2PrTi
_chemical_formula_sum 'Tb2 Pr1 Ti1'
_cell_length_a 3.4253
_cell_length_b 3.4253
_cell_length_c 9.8729
_cell_angle_alpha 90.00
_cell_angle_beta 90.00
_cell_angle_gamma 90.00
_symmetry_space_group_name_H-M 'P 4/m m m'
_symmetry_Int_Tables_number 123
_symmetry_space_group_name_Hall '-P 4 2'
loop_
_atom_site_label
_atom_site_type_symbol
_atom_site_fract_x
_atom_site_fract_y
_atom_site_fract_z
Tb1 Tb 0.0000 0.0000 0.2103
Pr1 Pr 0.5000 0.5000 0.5000
Ti1 Ti 0.5000 0.5000 0.0000
```

Values from the calculation:
The formation energy is 0.168 eV/atom. For the offset from the most stable computed form, the calculation gives 0 meV per atom.

=====

No. 2
Compound: CsCdTeS2
Source: Alexandria
Functional: PBE
Structure: optimized geometry

The structure in CIF format:
```
data_CsCdTeS2
_chemical_formula_sum 'Cs1 Cd1 Te1 S2'
_cell_length_a 5.2761
_cell_length_b 5.2761
_cell_length_c 7.0145
_cell_angle_alpha 90.00
_cell_angle_beta 90.00
_cell_angle_gamma 90.00
_symmetry_space_group_name_H-M 'P 4/m m m'
_symmetry_Int_Tables_number 123
_symmetry_space_group_name_Hall '-P 4 2'
loop_
_atom_site_label
_atom_site_type_symbol
_atom_site_fract_x
_atom_site_fract_y
_atom_site_fract_z
Cs1 Cs 0.0000 0.0000 0.0000
Cd1 Cd 0.5000 0.5000 0.0000
Te1 Te 0.0000 0.0000 0.5000
S1 S 0.0000 0.5000 0.5000
```

Values from the calculation:
The value obtained for the uncorrected formation energy is 43 kJ/mol of formula units.